No. 1
The following is a GGA-PBE calculation of BaZnIr2 after structural relaxation, from Alexandria.

Energy of formation from the pure elements = 0.233 eV/atom
Spin magnetization = 0.00 μB/f.u.

abc: 8.8224 3.1264 6.4260
angles: 90.00 101.13 90.00
Positions (direct):
Ba 0.0000 0.0000 0.0000
Ba 0.5000 0.5000 0.0000
Zn 0.0000 0.5000 0.5000
Zn 0.5000 0.0000 0.5000
Ir 0.2259 0.0000 0.6519
Ir 0.2741 0.5000 0.3481
Ir 0.7259 0.5000 0.6519
Ir 0.7741 0.0000 0.3481



No. 2
The following is a GGA-PBE calculation of TaOsSe2Br after structural relaxation, from Alexandria.

Spin magnetization = 4.25 μB/f.u.
E_tot = -5.24 eV per atom

abc: 5.0198 5.0198 5.1243
angles: 90.00 90.00 90.00
Positions (direct):
Ta 0.0000 0.0000 0.0000
Os 0.5000 0.5000 0.5000
Se 0.0000 0.5000 0.0000
Se 0.5000 0.0000 0.0000
Br 0.0000 0.0000 0.5000



No. 3
The following is a GGA-PBE calculation of La2Zn3CuGe4 after structural relaxation, from Alexandria.

Energy of formation from the pure elements = -0.481 eV/atom
Spin magnetization = 0.00 μB/f.u.

abc: 4.3953 4.3953 10.2488
angles: 90.00 90.00 90.00
Positions (direct):
La 0.0000 0.5000 0.2466
La 0.5000 0.0000 0.7534
Zn 0.0000 0.0000 0.0000
Zn 0.0000 0.5000 0.6313
Zn 0.5000 0.0000 0.3687
Cu 0.5000 0.5000 0.0000
Ge 0.0000 0.0000 0.5000
Ge 0.0000 0.5000 0.8707
Ge 0.5000 0.0000 0.1293
Ge 0.5000 0.5000 0.5000



No. 4
The following is a GGA-PBE calculation of TlCu2AuI6 after structural relaxation, from Alexandria.

Spin magnetization = 0.00 μB/f.u.
E_tot = -2.48 eV per atom

abc: 10.8578 10.8578 7.2565
angles: 102.09 102.09 89.01
Positions (direct):
Tl 0.1146 0.8854 0.7500
Tl 0.8854 0.1146 0.2500
Cu 0.2360 0.3687 0.7938
Cu 0.3687 0.2360 0.2938
Cu 0.6313 0.7640 0.7062
Cu 0.7640 0.6313 0.2062
Au 0.2944 0.7056 0.2500
Au 0.7056 0.2944 0.7500
I 0.0621 0.2009 0.7200
I 0.1452 0.5875 0.9383
I 0.2009 0.0621 0.2200
I 0.3175 0.4362 0.5230
I 0.4125 0.8548 0.5617
I 0.4362 0.3175 0.0230
I 0.5638 0.6825 0.9770
I 0.5875 0.1452 0.4383
I 0.6825 0.5638 0.4770
I 0.7991 0.9379 0.7800
I 0.8548 0.4125 0.0617
I 0.9379 0.7991 0.2800